1.
Material: SnHg2
Method: DFT, GGA-PBE
State: optimized geometry

Structure (POSCAR):
```
SnHg2
1.0
3.598 0.000 0.000
0.000 3.598 0.000
0.000 0.000 12.079
Sn Hg
2 4
direct
0.000 0.000 0.000
0.500 0.500 0.500
0.000 0.000 0.333
0.000 0.000 0.667
0.500 0.500 0.167
0.500 0.500 0.833
```

- space group = I4/mmm, No. 139
- energy of formation from the pure elements (eV/f.u.) = 0.2



2.
Material: SnHg2
Method: DFT, GGA-PBE
State: optimized geometry

Structure (POSCAR):
```
SnHg2
1.0
5.584 0.000 0.000
0.000 3.615 0.000
-2.030 0.000 7.858
Sn Hg
2 4
direct
0.000 0.000 0.000
0.500 0.500 0.000
0.128 0.500 0.338
0.372 0.000 0.662
0.628 0.000 0.338
0.872 0.500 0.662
```

- space group = C2/m, No. 12
- energy of formation from the pure elements (eV/f.u.) = 0.2



3.
Material: SnHg15
Method: DFT, GGA-PBE
State: optimized geometry

Structure (POSCAR):
```
SnHg15
1.0
6.744 0.000 0.000
-3.372 5.841 0.000
0.000 0.000 10.947
Sn Hg
1 15
direct
0.000 0.000 0.000
0.000 0.000 0.500
0.001 0.500 0.500
0.002 0.501 0.000
0.333 0.667 0.252
0.333 0.667 0.748
0.334 0.167 0.253
0.334 0.167 0.747
0.499 0.501 0.000
0.499 0.998 0.000
0.500 0.500 0.500
0.500 0.999 0.500
0.833 0.167 0.253
0.833 0.167 0.747
0.833 0.666 0.253
0.833 0.666 0.747
```

- space group = P-6m2, No. 187
- energy of formation from the pure elements (eV/f.u.) = 0.4



4.
Material: Sn3Hg4
Method: DFT, GGA-PBE
State: optimized geometry

Structure (POSCAR):
```
Sn3Hg4
1.0
4.061 0.000 0.000
0.000 4.061 0.000
0.000 0.000 22.699
Sn Hg
6 8
direct
0.000 0.000 0.000
0.000 0.000 0.279
0.000 0.000 0.721
0.500 0.500 0.221
0.500 0.500 0.500
0.500 0.500 0.779
0.000 0.000 0.140
0.000 0.000 0.426
0.000 0.000 0.574
0.000 0.000 0.860
0.500 0.500 0.074
0.500 0.500 0.360
0.500 0.500 0.640
0.500 0.500 0.926
```

- space group = I4/mmm, No. 139
- energy of formation from the pure elements (eV/f.u.) = 0.6



5.
Material: SnHg7
Method: DFT, GGA-PBE
State: optimized geometry

Structure (POSCAR):
```
SnHg7
1.0
0.000 4.739 4.739
4.739 0.000 4.739
4.739 4.739 0.000
Sn Hg
1 7
direct
0.000 0.000 0.000
0.000 0.000 0.500
0.000 0.500 0.000
0.000 0.500 0.500
0.500 0.000 0.000
0.500 0.000 0.500
0.500 0.500 0.000
0.500 0.500 0.500
```

- space group = Fm-3m, No. 225
- energy of formation from the pure elements (eV/f.u.) = 0.4



6.
Material: Sn2Hg
Method: DFT, GGA-PBE
State: optimized geometry

Structure (POSCAR):
```
Sn2Hg
1.0
3.744 0.000 0.000
0.000 3.744 0.000
0.000 0.000 11.426
Sn Hg
4 2
direct
0.000 0.000 0.166
0.000 0.000 0.834
0.500 0.500 0.334
0.500 0.500 0.666
0.000 0.000 0.500
0.500 0.500 0.000
```

- space group = I4/mmm, No. 139
- energy of formation from the pure elements (eV/f.u.) = 0.2



7.
Material: SnHg4
Method: DFT, GGA-PBE
State: optimized geometry

Structure (POSCAR):
```
SnHg4
1.0
5.725 0.000 0.000
0.000 5.725 0.000
0.000 0.000 5.725
Sn Hg
1 4
direct
0.000 0.000 0.000
0.000 0.000 0.500
0.000 0.500 0.000
0.500 0.000 0.000
0.500 0.500 0.500
```

- space group = Pm-3m, No. 221
- energy of formation from the pure elements (eV/f.u.) = 0.6



8.
Material: Sn2Hg3
Method: DFT, GGA-PBE
State: optimized geometry

Structure (POSCAR):
```
Sn2Hg3
1.0
3.667 0.000 0.000
-1.833 3.176 0.000
0.000 0.000 11.508
Sn Hg
2 3
direct
0.333 0.667 0.300
0.667 0.333 0.700
0.000 0.000 0.500
0.333 0.667 0.902
0.667 0.333 0.098
```

- space group = P-3m1, No. 164
- energy of formation from the pure elements (eV/f.u.) = 0.4



9.
Material: Sn2Hg
Method: DFT, GGA-PBE
State: optimized geometry

Structure (POSCAR):
```
Sn2Hg
1.0
5.368 0.000 0.000
-2.684 4.649 0.000
0.000 0.000 3.248
Sn Hg
2 1
direct
0.333 0.667 0.000
0.667 0.333 0.000
0.000 0.000 0.500
```

- space group = P6/mmm, No. 191
- energy of formation from the pure elements (eV/f.u.) = 0.2



10.
Material: SnHg3
Method: DFT, GGA-PBE
State: optimized geometry

Structure (POSCAR):
```
SnHg3
1.0
6.833 0.000 0.000
-3.417 5.918 0.000
0.000 0.000 5.098
Sn Hg
2 6
direct
0.333 0.667 0.250
0.667 0.333 0.750
0.166 0.332 0.750
0.166 0.834 0.750
0.332 0.166 0.250
0.668 0.834 0.750
0.834 0.166 0.250
0.834 0.668 0.250
```

- space group = P6_3/mmc, No. 194
- energy of formation from the pure elements (eV/f.u.) = 0.4



11.
Material: SnHg6
Method: DFT, GGA-PBE
State: optimized geometry

Structure (POSCAR):
```
SnHg6
1.0
8.075 0.000 0.000
0.000 8.075 0.000
0.000 0.000 8.075
Sn Hg
2 12
direct
0.000 0.000 0.000
0.500 0.500 0.500
0.000 0.250 0.500
0.000 0.500 0.250
0.000 0.500 0.750
0.000 0.750 0.500
0.250 0.000 0.500
0.250 0.500 0.000
0.500 0.000 0.250
0.500 0.000 0.750
0.500 0.250 0.000
0.500 0.750 0.000
0.750 0.000 0.500
0.750 0.500 0.000
```

- space group = Im-3m, No. 229
- energy of formation from the pure elements (eV/f.u.) = 2.9



12.
Material: Sn3Hg2
Method: DFT, GGA-PBE
State: optimized geometry

Structure (POSCAR):
```
Sn3Hg2
1.0
8.802 0.000 0.000
0.000 3.327 0.000
-0.882 0.000 9.528
Sn Hg
6 4
direct
0.077 0.250 0.137
0.151 0.750 0.435
0.199 0.250 0.734
0.801 0.750 0.266
0.849 0.250 0.565
0.923 0.750 0.863
0.353 0.750 0.020
0.474 0.750 0.346
0.526 0.250 0.654
0.647 0.250 0.980
```

- space group = P2_1/m, No. 11
- energy of formation from the pure elements (eV/f.u.) = 0.2